## AlMoNO2 (PBE with a Hubbard U)

Data for a geometry-optimized AlMoNO2 structure.

Summary:
Size of the total moment in Bohr magnetons per cell: 0.00
Electronic total energy in Ha/atom: -0.23014

```
data_AlMoNO2
_chemical_formula_sum 'Al1 Mo1 N1 O2'
_space_group_name_H-M_alt 'P 4/m m m'
_space_group_IT_number 123
_space_group_name_Hall '-P 4 2'
_cell_length_a 3.931
_cell_length_b 3.931
_cell_length_c 4.031
_cell_angle_alpha 90.00
_cell_angle_beta 90.00
_cell_angle_gamma 90.00
loop_
_atom_site_label
_atom_site_type_symbol
_atom_site_fract_x
_atom_site_fract_y
_atom_site_fract_z
Al1 Al 0.000 0.000 0.000
Mo1 Mo 0.500 0.500 0.500
N1 N 0.500 0.500 0.000
O1 O 0.000 0.500 0.500
```